(1)
# PBE Sr2LiTmTe4, relaxed
# Theoretical density: 5.4 g/cm3
# E_form (uncorrected): -11.67 eV/f.u.
# VASP energy: -33.99 eV for the cell shown
# Size of the total moment: 0.00 μB/f.u.
data_Sr2LiTmTe4
_symmetry_space_group_name_H-M 'P 1'
_symmetry_Int_Tables_number 1
_cell_length_a 4.538
_cell_length_b 7.832
_cell_length_c 7.826
_cell_angle_alpha 108.80
_cell_angle_beta 90.00
_cell_angle_gamma 90.00
loop_
_symmetry_equiv_pos_as_xyz
'x,y,z'
loop_
_atom_site_label
_atom_site_type_symbol
_atom_site_fract_x
_atom_site_fract_y
_atom_site_fract_z
Sr1 Sr 0.500 0.000 0.500
Sr2 Sr 0.000 0.500 0.500
Li1 Li 0.500 0.500 0.000
Tm1 Tm 0.000 0.000 0.000
Te1 Te 0.500 0.241 0.223
Te2 Te 0.500 0.759 0.777
Te3 Te 0.000 0.253 0.775
Te4 Te 0.000 0.747 0.225


(2)
# PBE Sr3LiTm3Te8, relaxed
# Theoretical density: 5.8 g/cm3
# E_form (uncorrected): -21.13 eV/f.u.
# VASP energy: -66.64 eV for the cell shown
# Size of the total moment: 0.00 μB/f.u.
data_Sr3LiTm3Te8
_symmetry_space_group_name_H-M 'P 1'
_symmetry_Int_Tables_number 1
_cell_length_a 8.891
_cell_length_b 8.890
_cell_length_c 9.116
_cell_angle_alpha 119.18
_cell_angle_beta 90.00
_cell_angle_gamma 120.00
loop_
_symmetry_equiv_pos_as_xyz
'x,y,z'
loop_
_atom_site_label
_atom_site_type_symbol
_atom_site_fract_x
_atom_site_fract_y
_atom_site_fract_z
Sr1 Sr 0.000 0.000 0.000
Sr2 Sr 0.000 0.500 0.000
Sr3 Sr 0.500 0.500 0.000
Li1 Li 0.000 0.000 0.500
Tm1 Tm 0.500 0.000 0.500
Tm2 Tm 0.500 0.500 0.500
Tm3 Tm 0.000 0.500 0.500
Te1 Te 0.258 0.515 0.273
Te2 Te 0.742 0.485 0.727
Te3 Te 0.756 0.511 0.276
Te4 Te 0.244 0.489 0.724
Te5 Te 0.755 0.021 0.276
Te6 Te 0.245 0.979 0.724
Te7 Te 0.265 0.021 0.276
Te8 Te 0.735 0.979 0.724


(3)
# PBE SrLiTmTe3, relaxed
# Theoretical density: 5.6 g/cm3
# E_form (uncorrected): -8.40 eV/f.u.
# VASP energy: -51.79 eV for the cell shown
# Size of the total moment: 0.00 μB/f.u.
data_SrLiTmTe3
_symmetry_space_group_name_H-M 'P 1'
_symmetry_Int_Tables_number 1
_cell_length_a 4.423
_cell_length_b 9.110
_cell_length_c 9.762
_cell_angle_alpha 104.19
_cell_angle_beta 90.00
_cell_angle_gamma 90.00
loop_
_symmetry_equiv_pos_as_xyz
'x,y,z'
loop_
_atom_site_label
_atom_site_type_symbol
_atom_site_fract_x
_atom_site_fract_y
_atom_site_fract_z
Sr1 Sr 0.250 0.191 0.243
Sr2 Sr 0.750 0.809 0.757
Li1 Li 0.250 0.085 0.588
Li2 Li 0.750 0.915 0.412
Tm1 Tm 0.250 0.672 0.162
Tm2 Tm 0.750 0.328 0.838
Te1 Te 0.750 0.894 0.127
Te2 Te 0.250 0.106 0.873
Te3 Te 0.250 0.770 0.483
Te4 Te 0.750 0.230 0.517
Te5 Te 0.750 0.439 0.164
Te6 Te 0.250 0.561 0.836


(4)
# PBE Sr3LiTm2Te6, relaxed
# Theoretical density: 5.8 g/cm3
# E_form (uncorrected): -17.62 eV/f.u.
# VASP energy: -52.37 eV for the cell shown
# D(E_F): 3.8 states/eV per cell
# Size of the total moment: 0.00 μB/f.u.
data_Sr3LiTm2Te6
_symmetry_space_group_name_H-M 'P 1'
_symmetry_Int_Tables_number 1
_cell_length_a 7.795
_cell_length_b 7.795
_cell_length_c 7.870
_cell_angle_alpha 99.51
_cell_angle_beta 99.51
_cell_angle_gamma 119.98
loop_
_symmetry_equiv_pos_as_xyz
'x,y,z'
loop_
_atom_site_label
_atom_site_type_symbol
_atom_site_fract_x
_atom_site_fract_y
_atom_site_fract_z
Sr1 Sr 0.166 0.834 0.500
Sr2 Sr 0.834 0.166 0.500
Sr3 Sr 0.500 0.500 0.500
Li1 Li 0.000 0.000 0.000
Tm1 Tm 0.333 0.667 0.000
Tm2 Tm 0.667 0.333 0.000
Te1 Te 0.925 0.591 0.775
Te2 Te 0.740 0.740 0.224
Te3 Te 0.075 0.409 0.225
Te4 Te 0.591 0.925 0.775
Te5 Te 0.260 0.260 0.776
Te6 Te 0.409 0.075 0.225


(5)
# PBE SrLiUTe3, relaxed
# Theoretical density: 6.1 g/cm3
# E_form (uncorrected): -6.28 eV/f.u.
# VASP energy: -61.18 eV for the cell shown
# D(E_F): 11.7 states/eV per cell
# Size of the total moment: 2.98 μB/f.u.
data_SrLiUTe3
_symmetry_space_group_name_H-M 'P 1'
_symmetry_Int_Tables_number 1
_cell_length_a 4.435
_cell_length_b 9.277
_cell_length_c 9.786
_cell_angle_alpha 104.27
_cell_angle_beta 90.00
_cell_angle_gamma 90.00
loop_
_symmetry_equiv_pos_as_xyz
'x,y,z'
loop_
_atom_site_label
_atom_site_type_symbol
_atom_site_fract_x
_atom_site_fract_y
_atom_site_fract_z
Sr1 Sr 0.250 0.188 0.240
Sr2 Sr 0.750 0.812 0.760
Li1 Li 0.250 0.085 0.587
Li2 Li 0.750 0.915 0.413
U1 U 0.250 0.668 0.155
U2 U 0.750 0.332 0.845
Te1 Te 0.750 0.900 0.129
Te2 Te 0.250 0.100 0.871
Te3 Te 0.250 0.775 0.486
Te4 Te 0.750 0.225 0.514
Te5 Te 0.750 0.438 0.174
Te6 Te 0.250 0.562 0.826


(6)
# PBE SrLi2UTe4, relaxed
# Theoretical density: 5.7 g/cm3
# E_form (uncorrected): -8.08 eV/f.u.
# VASP energy: -37.44 eV for the cell shown
# D(E_F): 4.0 states/eV per cell
# Size of the total moment: 2.00 μB/f.u.
data_SrLi2UTe4
_symmetry_space_group_name_H-M 'P 1'
_symmetry_Int_Tables_number 1
_cell_length_a 4.475
_cell_length_b 7.838
_cell_length_c 7.488
_cell_angle_alpha 110.14
_cell_angle_beta 90.00
_cell_angle_gamma 90.00
loop_
_symmetry_equiv_pos_as_xyz
'x,y,z'
loop_
_atom_site_label
_atom_site_type_symbol
_atom_site_fract_x
_atom_site_fract_y
_atom_site_fract_z
Sr1 Sr 0.500 0.500 0.000
Li1 Li 0.500 0.000 0.500
Li2 Li 0.000 0.500 0.500
U1 U 0.000 0.000 0.000
Te1 Te 0.500 0.236 0.258
Te2 Te 0.500 0.764 0.742
Te3 Te 0.000 0.223 0.738
Te4 Te 0.000 0.777 0.262


(7)
# PBE Sr3LiU3Te8, relaxed
# Theoretical density: 6.3 g/cm3
# E_form (uncorrected): -15.24 eV/f.u.
# VASP energy: -81.20 eV for the cell shown
# D(E_F): 13.8 states/eV per cell
# Size of the total moment: 8.98 μB/f.u.
data_Sr3LiU3Te8
_symmetry_space_group_name_H-M 'P 1'
_symmetry_Int_Tables_number 1
_cell_length_a 8.898
_cell_length_b 8.901
_cell_length_c 9.236
_cell_angle_alpha 118.82
_cell_angle_beta 90.00
_cell_angle_gamma 119.99
loop_
_symmetry_equiv_pos_as_xyz
'x,y,z'
loop_
_atom_site_label
_atom_site_type_symbol
_atom_site_fract_x
_atom_site_fract_y
_atom_site_fract_z
Sr1 Sr 0.000 0.000 0.000
Sr2 Sr 0.000 0.500 0.000
Sr3 Sr 0.500 0.500 0.000
Li1 Li 0.000 0.000 0.500
U1 U 0.500 0.000 0.500
U2 U 0.500 0.500 0.500
U3 U 0.000 0.500 0.500
Te1 Te 0.255 0.510 0.265
Te2 Te 0.745 0.490 0.735
Te3 Te 0.755 0.511 0.272
Te4 Te 0.245 0.489 0.728
Te5 Te 0.756 0.016 0.272
Te6 Te 0.244 0.984 0.728
Te7 Te 0.260 0.016 0.272
Te8 Te 0.740 0.984 0.728


(8)
# PBE Sr4LiY3Te8, relaxed
# Theoretical density: 5.2 g/cm3
# E_form (uncorrected): -24.16 eV/f.u.
# VASP energy: -77.33 eV for the cell shown
# D(E_F): 4.4 states/eV per cell
# Size of the total moment: 0.00 μB/f.u.
data_Sr4LiY3Te8
_symmetry_space_group_name_H-M 'P 1'
_symmetry_Int_Tables_number 1
_cell_length_a 9.041
_cell_length_b 9.117
_cell_length_c 9.041
_cell_angle_alpha 119.73
_cell_angle_beta 120.00
_cell_angle_gamma 90.00
loop_
_symmetry_equiv_pos_as_xyz
'x,y,z'
loop_
_atom_site_label
_atom_site_type_symbol
_atom_site_fract_x
_atom_site_fract_y
_atom_site_fract_z
Sr1 Sr 0.500 0.000 0.000
Sr2 Sr 0.500 0.000 0.500
Sr3 Sr 0.000 0.000 0.000
Sr4 Sr 0.000 0.000 0.500
Li1 Li 0.000 0.500 0.000
Y1 Y 0.500 0.500 0.000
Y2 Y 0.500 0.500 0.500
Y3 Y 0.000 0.500 0.500
Te1 Te 0.242 0.728 0.986
Te2 Te 0.242 0.728 0.484
Te3 Te 0.256 0.269 0.512
Te4 Te 0.744 0.728 0.986
Te5 Te 0.256 0.272 0.014
Te6 Te 0.744 0.731 0.488
Te7 Te 0.758 0.272 0.516
Te8 Te 0.758 0.272 0.014


(9)
# PBE Sr2LiYTe4, relaxed
# Theoretical density: 4.9 g/cm3
# E_form (uncorrected): -11.85 eV/f.u.
# VASP energy: -36.16 eV for the cell shown
# Size of the total moment: 0.00 μB/f.u.
data_Sr2LiYTe4
_symmetry_space_group_name_H-M 'P 1'
_symmetry_Int_Tables_number 1
_cell_length_a 4.564
_cell_length_b 7.864
_cell_length_c 7.857
_cell_angle_alpha 108.85
_cell_angle_beta 90.00
_cell_angle_gamma 90.00
loop_
_symmetry_equiv_pos_as_xyz
'x,y,z'
loop_
_atom_site_label
_atom_site_type_symbol
_atom_site_fract_x
_atom_site_fract_y
_atom_site_fract_z
Sr1 Sr 0.500 0.000 0.500
Sr2 Sr 0.000 0.500 0.500
Li1 Li 0.500 0.500 0.000
Y1 Y 0.000 0.000 0.000
Te1 Te 0.500 0.244 0.226
Te2 Te 0.500 0.756 0.774
Te3 Te 0.000 0.254 0.773
Te4 Te 0.000 0.746 0.227


(10)
# PBE Sr2LiYTe, relaxed
# Theoretical density: 3.5 g/cm3
# E_form (uncorrected): -0.07 eV/f.u.
# VASP energy: -14.95 eV for the cell shown
# D(E_F): 6.6 states/eV per cell
# Size of the total moment: 0.21 μB/f.u.
data_Sr2LiYTe
_symmetry_space_group_name_H-M 'P 1'
_symmetry_Int_Tables_number 1
_cell_length_a 6.356
_cell_length_b 4.731
_cell_length_c 6.356
_cell_angle_alpha 90.00
_cell_angle_beta 90.00
_cell_angle_gamma 90.00
loop_
_symmetry_equiv_pos_as_xyz
'x,y,z'
loop_
_atom_site_label
_atom_site_type_symbol
_atom_site_fract_x
_atom_site_fract_y
_atom_site_fract_z
Y1 Y 0.500 0.500 0.500
Sr1 Sr 0.000 0.000 0.500
Sr2 Sr 0.500 0.000 0.000
Te1 Te 0.000 0.500 0.000
Li1 Li 0.000 0.000 0.000